# 1
Density functional theory data (PBE) for a relaxed Pa2OsRh crystal.

a = 4.8682 Å, b = 4.8682 Å, c = 4.8682 Å
α = 60.00°, β = 60.00°, γ = 60.00°
Last column: nearest neighbours and their distance in Å.
Sites, in units of the cell vectors:
Pa 0.2500 0.2500 0.2500  4 Os 2.98, 4 Rh 2.98
Rh 0.0000 0.0000 0.0000  8 Pa 2.98
Pa 0.7500 0.7500 0.7500  4 Os 2.98, 4 Rh 2.98
Os 0.5000 0.5000 0.5000  8 Pa 2.98

- formation energy (eV per atom) = -0.391
- polymorph energy (0 for the lowest one) (meV/atom) = 236
- raw total energy (eV/atom) = -9.78
- density of states at the Fermi level (states/eV per atom) = 1.89

# 2
Density functional theory data (PBE) for a relaxed Pa8OsRh5 crystal.

a = 7.3960 Å, b = 7.3960 Å, c = 7.3960 Å
α = 109.42°, β = 109.58°, γ = 109.42°
Last column: nearest neighbours and their distance in Å.
Sites, in units of the cell vectors:
Rh 0.5000 0.0000 0.5000  4 Pa 2.77
Os 0.2500 0.5000 0.7500  4 Pa 2.73
Pa 0.1182 0.7396 0.9902  1 Os 2.73, 2 Rh 2.74-2.75
Pa 0.1232 0.7340 0.4872  3 Rh 2.74-2.78
Pa 0.2506 0.2604 0.3786  1 Os 2.73, 2 Rh 2.74-2.75
Rh 0.9930 0.3645 0.1125  4 Pa 2.74-2.78
Pa 0.6214 0.8720 0.8818  1 Os 2.73, 2 Rh 2.74-2.75
Rh 0.8875 0.8805 0.2519  4 Pa 2.74-2.78
Pa 0.6108 0.3640 0.8768  3 Rh 2.74-2.78
Pa 0.7532 0.2660 0.3892  3 Rh 2.74-2.78
Rh 0.7481 0.6355 0.6285  4 Pa 2.74-2.78
Rh 0.3715 0.1195 0.0070  4 Pa 2.74-2.78
Pa 0.5128 0.6360 0.2468  3 Rh 2.74-2.78
Pa 0.0098 0.1280 0.7494  1 Os 2.73, 2 Rh 2.74-2.75

- formation energy (eV per atom) = -0.509
- raw total energy (eV/atom) = -9.36
- density of states at the Fermi level (states/eV per atom) = 1.83

# 3
Density functional theory data (PBE) for a relaxed Pa4OsRhS2 crystal.

a = 3.8457 Å, b = 7.2864 Å, c = 6.6309 Å
α = 72.31°, β = 90.00°, γ = 90.00°
Last column: nearest neighbours and their distance in Å.
Sites, in units of the cell vectors:
S 0.0000 0.0000 0.0000  6 Pa 2.82
Pa 0.0000 0.7440 0.7550  2 Os 2.78, 1 Rh 2.80, 3 S 2.82-2.85
Pa 0.0000 0.2560 0.2450  2 Os 2.78, 1 Rh 2.80, 3 S 2.82-2.85
Rh 0.0000 0.5000 0.5000  6 Pa 2.80-2.81
Os 0.5000 0.5000 0.0000  6 Pa 2.78
Pa 0.5000 0.7466 0.2476  1 Os 2.78, 2 Rh 2.81, 3 S 2.82-2.84
Pa 0.5000 0.2534 0.7524  1 Os 2.78, 2 Rh 2.81, 3 S 2.82-2.84
S 0.5000 0.0000 0.5000  6 Pa 2.84-2.85

- uncorrected formation energy (meV per atom) = -975
- raw total energy (eV/atom) = -9.08
- density of states at the Fermi level (states/eV per atom) = 1.35

# 4
Density functional theory data (PBE) for a relaxed ScPaOsRh crystal.

a = 4.7459 Å, b = 4.7459 Å, c = 4.7459 Å
α = 60.00°, β = 60.00°, γ = 60.00°
Last column: nearest neighbours and their distance in Å.
Sites, in units of the cell vectors:
Rh 0.7500 0.7500 0.7500  4 Pa 2.91, 4 Sc 2.91
Pa 0.5000 0.5000 0.5000  4 Os 2.91, 4 Rh 2.91
Os 0.2500 0.2500 0.2500  4 Pa 2.91, 4 Sc 2.91
Sc 0.0000 0.0000 0.0000  4 Os 2.91, 4 Rh 2.91

- formation energy (eV per atom) = -0.561
- raw total energy (eV/atom) = -9.16
- density of states at the Fermi level (states/eV per atom) = 1.14